First-principles (PBE) data for crystalline Ho6GeS4 at its relaxed geometry, as listed in the Alexandria database.

Structure (CIF):
```
data_Ho6GeS4
_chemical_formula_sum 'Ho12 Ge2 S8'
_space_group_name_H-M_alt 'P 1'
_space_group_IT_number 1
_space_group_name_Hall 'P 1'
_cell_length_a 3.933
_cell_length_b 6.643
_cell_length_c 19.718
_cell_angle_alpha 90.00
_cell_angle_beta 90.00
_cell_angle_gamma 107.22
loop_
_atom_site_label
_atom_site_type_symbol
_atom_site_fract_x
_atom_site_fract_y
_atom_site_fract_z
_atom_site_occupancy
Ho1 Ho 0.500 0.000 0.500 1
Ho2 Ho 0.950 0.900 0.835 1
Ho3 Ho 0.050 0.100 0.165 1
S1 S 0.862 0.724 0.960 1
S2 S 0.590 0.180 0.876 1
Ge1 Ge 0.334 0.668 0.750 1
Ho4 Ho 0.227 0.454 0.586 1
Ho5 Ho 0.227 0.454 0.914 1
Ho6 Ho 0.669 0.338 0.750 1
Ho7 Ho 0.331 0.662 0.250 1
Ho8 Ho 0.950 0.900 0.665 1
Ho9 Ho 0.050 0.100 0.335 1
Ho10 Ho 0.773 0.546 0.414 1
S3 S 0.138 0.276 0.460 1
S4 S 0.410 0.820 0.376 1
Ho11 Ho 0.773 0.546 0.086 1
S5 S 0.410 0.820 0.124 1
Ho12 Ho 0.500 0.000 0.000 1
Ge2 Ge 0.666 0.332 0.250 1
S6 S 0.862 0.724 0.540 1
S7 S 0.590 0.180 0.624 1
S8 S 0.138 0.276 0.040 1
```

Computed properties:
For the final energy, the calculation gives -6.042 eV per atom. As for the mass density: 8.0 g cm⁻³. The energy relative to the elements, uncorrected is -1.62 eV/atom. Its calculated volume is 22.4 A^3/atom.